SrCr2Mo: relaxed, GGA-PBEsol.

Unit cell a=4.648 b=4.648 c=4.648 alpha=60.00 beta=60.00 gamma=60.00
Last column: magnetic moment on the atom in μB.
Sites, in units of the cell vectors:
Cr1 0.250 0.250 0.250  2.59
Cr2 0.750 0.750 0.750  2.59
Mo1 0.000 0.000 0.000  -1.57
Sr1 0.500 0.500 0.500  0.07

total magnetization	3.97	μB per formula unit
density of states at the Fermi level	3.49	states/eV/cell
E above lowest polymorph	442	meV per atom
space-group type	Fm-3m
calculated formation energy	1.175	eV per atom

***

Sr3CrMo: relaxed, GGA-PBEsol.

Unit cell a=5.836 b=5.836 c=5.836 alpha=90.00 beta=90.00 gamma=90.00
Last column: magnetic moment on the atom in μB.
Sites, in units of the cell vectors:
Sr1 0.000 0.500 0.000  0.03
Sr2 0.000 0.000 0.500  0.03
Sr3 0.500 0.000 0.000  0.03
Mo1 0.500 0.500 0.500  3.77
Cr1 0.000 0.000 0.000  3.65

total magnetization	8.84	μB per formula unit
density of states at the Fermi level	7.20	states/eV/cell
space-group type	Pm-3m
calculated formation energy	1.566	eV per atom

***

Sr2CrMo: relaxed, GGA-PBEsol.

Unit cell a=5.201 b=5.201 c=5.201 alpha=60.00 beta=60.00 gamma=60.00
Last column: magnetic moment on the atom in μB.
Sites, in units of the cell vectors:
Cr1 0.500 0.500 0.500  3.59
Mo1 0.250 0.250 0.250  -2.32
Sr1 0.000 0.000 0.000  -0.07
Sr2 0.750 0.750 0.750  0.07

total magnetization	1.57	μB per formula unit
density of states at the Fermi level	3.04	states/eV/cell
space-group type	F-43m
calculated formation energy	1.176	eV per atom

***

SrCr2Mo: relaxed, GGA-PBEsol.

Unit cell a=3.334 b=3.335 c=6.957 alpha=90.00 beta=90.00 gamma=90.00
Sites, in units of the cell vectors:
Cr1 0.000 0.000 0.856
Cr2 0.000 0.000 0.144
Mo1 0.500 0.500 0.000
Sr1 0.500 0.500 0.500

total magnetization	0.00	μB per formula unit
density of states at the Fermi level	3.59	states/eV/cell
E above lowest polymorph	0	meV per atom
space-group type	P4/mmm
calculated formation energy	0.733	eV per atom

***

SrCr2Mo: relaxed, GGA-PBEsol.

Unit cell a=2.973 b=2.973 c=7.913 alpha=90.00 beta=90.00 gamma=90.00
Last column: magnetic moment on the atom in μB.
Sites, in units of the cell vectors:
Cr1 0.000 0.000 0.082  1.95
Cr2 0.500 0.500 0.237  -0.67
Mo1 0.000 0.000 0.423  0.18
Sr1 0.500 0.500 0.758  -0.01

total magnetization	1.62	μB per formula unit
density of states at the Fermi level	4.36	states/eV/cell
E above lowest polymorph	64	meV per atom
space-group type	P4mm
calculated formation energy	0.797	eV per atom

***

TaCrMo2: relaxed, GGA-PBEsol.

Unit cell a=3.096 b=4.387 c=5.132 alpha=115.30 beta=107.56 gamma=90.00
Sites, in units of the cell vectors:
Cr1 0.000 0.500 0.000
Mo1 0.744 0.744 0.487
Mo2 0.256 0.256 0.513
Ta1 0.500 0.000 0.000

total magnetization	0.00	μB per formula unit
density of states at the Fermi level	1.99	states/eV/cell
E above lowest polymorph	15	meV per atom
space-group type	Immm
calculated formation energy	-0.026	eV per atom

***

What did the sixth record say?
TaCrMo2: relaxed, GGA-PBEsol.

Unit cell a=3.096 b=4.387 c=5.132 alpha=115.30 beta=107.56 gamma=90.00
Sites, in units of the cell vectors:
Cr1 0.000 0.500 0.000
Mo1 0.744 0.744 0.487
Mo2 0.256 0.256 0.513
Ta1 0.500 0.000 0.000

total magnetization	0.00	μB per formula unit
density of states at the Fermi level	1.99	states/eV/cell
E above lowest polymorph	15	meV per atom
space-group type	Immm
calculated formation energy	-0.026	eV per atom